Record 1
Computed, not measured: a relaxed Ca3Dy5Au12 crystal at the GGA-PBE level of DFT.

Lattice parameters (Å, degrees): 14.4887 14.4887 14.4887 109.47 109.47 109.47
Atoms (fractional coordinates):
Au 0.7689 0.4295 0.3496
Au 0.2689 0.8496 0.9295
Au 0.3394 0.7689 0.4193
Au 0.3496 0.9295 0.7689
Dy 0.6250 0.7500 0.8750
Au 0.9193 0.0799 0.6504
Ca 0.6250 0.3750 0.7500
Au 0.3394 0.5705 0.4201
Au 0.5705 0.2311 0.1504
Au 0.8496 0.2689 0.4295
Dy 0.7500 0.6250 0.3750
Dy 0.5000 0.0000 0.0000
Dy 0.1250 0.7500 0.3750
Dy 0.0000 0.5000 0.5000
Au 0.5807 0.7311 0.6606
Dy 0.2500 0.8750 0.1250
Ca 0.1250 0.2500 0.8750
Au 0.4295 0.6606 0.0799
Au 0.0807 0.1606 0.2311
Au 0.9201 0.8394 0.5705
Dy 0.7500 0.1250 0.8750
Au 0.0799 0.9193 0.1504
Ca 0.3750 0.7500 0.6250
Au 0.4201 0.3496 0.5807
Au 0.9193 0.8394 0.7689
Au 0.7689 0.3394 0.9193
Dy 0.5000 0.5000 0.5000
Au 0.7311 0.5807 0.1606
Au 0.5705 0.3394 0.9201
Au 0.5799 0.9295 0.6606
Au 0.8496 0.5807 0.9201
Au 0.7311 0.1504 0.0705
Au 0.8394 0.9201 0.0705
Ca 0.8750 0.1250 0.2500
Au 0.1504 0.4193 0.0799
Au 0.0705 0.6504 0.7311
Dy 0.1250 0.3750 0.2500
Au 0.9201 0.0807 0.8496
Ca 0.2500 0.6250 0.8750
Au 0.4295 0.7689 0.8496
Dy 0.8750 0.2500 0.6250
Au 0.9295 0.3496 0.2689
Au 0.2311 0.5705 0.6504
Au 0.0799 0.1606 0.4295
Au 0.4193 0.2689 0.3394
Dy 0.0000 0.5000 0.0000
Au 0.5799 0.6504 0.4193
Au 0.4201 0.0705 0.3394
Dy 0.5000 0.5000 0.0000
Ca 0.3750 0.6250 0.2500
Ca 0.2500 0.1250 0.3750
Au 0.4193 0.1504 0.5799
Au 0.1504 0.7311 0.5705
Au 0.0807 0.9201 0.3496
Ca 0.7500 0.8750 0.6250
Au 0.5807 0.8496 0.4201
Ca 0.7500 0.3750 0.1250
Au 0.6504 0.0705 0.2311
Au 0.2689 0.4193 0.8394
Au 0.1606 0.0799 0.9295
Au 0.6606 0.2311 0.5807
Ca 0.1250 0.8750 0.7500
Dy 0.6250 0.8750 0.2500
Au 0.3496 0.4201 0.0807
Au 0.9295 0.5799 0.1606
Au 0.6504 0.5799 0.9193
Ca 0.8750 0.7500 0.1250
Au 0.0705 0.4201 0.8394
Dy 0.0000 0.0000 0.5000
Au 0.2311 0.6606 0.0807
Dy 0.3750 0.2500 0.1250
Dy 0.3750 0.1250 0.7500
Au 0.6606 0.4295 0.5799
Dy 0.5000 0.0000 0.5000
Au 0.8394 0.9193 0.2689
Au 0.1606 0.0807 0.7311
Dy 0.0000 0.0000 0.0000
Dy 0.2500 0.3750 0.6250
Ca 0.6250 0.2500 0.3750
Dy 0.8750 0.6250 0.7500

DFT formation energy = -0.425 eV per atom
N(E_F) = 0.59 states/eV per atom
total magnetization = 0.00 μB per formula unit
calculated total energy = -3.8420 eV/atom

Record 2
Computed, not measured: a relaxed CoOsS2 crystal at the GGA-PBE level of DFT.

Lattice parameters (Å, degrees): 4.1740 4.1740 4.1740 60.00 60.00 60.00
Last column: magnetic moment on the atom in μB.
Atoms (fractional coordinates):
Os 0.5000 0.5000 0.5000  0.05
S 0.7500 0.7500 0.7500  0.03
S 0.2500 0.2500 0.2500  0.03
Co 0.0000 0.0000 0.0000  1.45

uncorrected formation energy = 397 meV/atom
energy relative to the lowest polymorph listed for this composition = 435.9 meV per atom
N(E_F) = 0.72 states/eV per atom
total magnetization = 1.49 μB per formula unit
calculated total energy = -6.2502 eV/atom

Record 3
Computed, not measured: a relaxed Zr2CdRh2 crystal at the GGA-PBE level of DFT.

Lattice parameters (Å, degrees): 3.9427 3.9427 7.3458 74.43 74.43 90.00
Atoms (fractional coordinates):
Cd 0.0000 0.0000 0.0000
Rh 0.7500 0.2500 0.5000
Zr 0.6203 0.6203 0.7593
Rh 0.2500 0.7500 0.5000
Zr 0.3797 0.3797 0.2407

DFT formation energy = -0.247 eV per atom
N(E_F) = 0.51 states/eV per atom
total magnetization = 0.00 μB per formula unit
calculated total energy = -6.7896 eV/atom